This record from the Alexandria database describes a relaxed Al8V2Co crystal. The functional is PBE.

Results
V   341.6 Å³/cell
Formation enthalpy at 0 K   -2.1 eV/f.u.

abc: 16.4112 3.8920 5.4879
angles: 90.00 102.99 90.00
Space group C2/m (No. 12)
One atom of each set of equivalent atoms:
Al 0.0235 0.0000 0.2643 [4 per cell]
Al 0.1055 0.5000 0.7627 [4 per cell]
Al 0.1328 0.5000 0.2862 [4 per cell]
Al 0.2157 0.0000 0.1015 [4 per cell]
V 0.1977 0.0000 0.5877 [4 per cell]
Co 0.0000 0.5000 0.0000 [2 per cell]


This record from the Alexandria database describes a relaxed Al6V2Co crystal. The functional is PBE.

Results
V   267.7 Å³/cell
Formation enthalpy at 0 K   -0.8 eV/f.u.

abc: 13.5772 7.0028 2.8202
angles: 90.00 93.12 90.00
Space group C2/m (No. 12)
One atom of each set of equivalent atoms:
Al 0.0000 0.1956 0.0000 [4 per cell]
Al 0.1584 0.3172 0.4933 [8 per cell]
V 0.1899 0.0000 0.9950 [4 per cell]
Co 0.0000 0.5000 0.5000 [2 per cell]


This record from the Alexandria database describes a relaxed Al2VCo crystal. The functional is PBE.

Results
V   51.8 Å³/cell
Formation enthalpy at 0 K   -1.6 eV/f.u.

abc: 2.7835 2.7835 6.6904
angles: 90.00 90.00 90.00
Space group P4/mmm (No. 123)
One atom of each set of equivalent atoms:
Al 0.0000 0.0000 0.2181 [2 per cell]
V 0.5000 0.5000 0.5000 [1 per cell]
Co 0.5000 0.5000 0.0000 [1 per cell]


This record from the Alexandria database describes a relaxed AlV2Co4 crystal. The functional is PBE.

Results
V   201.2 Å³/cell
Formation enthalpy at 0 K   6.0 eV/f.u.

abc: 4.1316 4.1316 11.7893
angles: 90.00 90.00 90.00
Space group I4/mmm (No. 139)
One atom of each set of equivalent atoms:
Al 0.0000 0.0000 0.0000 [2 per cell]
V 0.0000 0.0000 0.3718 [4 per cell]
Co 0.0000 0.0000 0.1968 [4 per cell]
Co 0.0000 0.5000 0.0000 [4 per cell]


This record from the Alexandria database describes a relaxed AlVCo4 crystal. The functional is PBE.

Results
V   282.3 Å³/cell
Offset from the most stable computed form   0.000 eV/atom
Formation enthalpy at 0 K   -0.8 eV/f.u.

abc: 6.5599 6.5599 6.5599
angles: 90.00 90.00 90.00
Space group F-43m (No. 216)
One atom of each set of equivalent atoms:
Al 0.0000 0.0000 0.0000 [4 per cell]
V 0.2500 0.2500 0.2500 [4 per cell]
Co 0.1254 0.1254 0.6254 [16 per cell]


This record from the Alexandria database describes a relaxed AlV2Co9 crystal. The functional is PBE.

Results
V   133.9 Å³/cell
Formation enthalpy at 0 K   -2.1 eV/f.u.

abc: 3.5557 3.5557 10.5918
angles: 90.00 90.00 90.00
Space group P4/mmm (No. 123)
One atom of each set of equivalent atoms:
Al 0.0000 0.0000 0.0000 [1 per cell]
V 0.0000 0.0000 0.3306 [2 per cell]
Co 0.0000 0.5000 0.1692 [4 per cell]
Co 0.0000 0.5000 0.5000 [2 per cell]
Co 0.5000 0.5000 0.0000 [1 per cell]
Co 0.5000 0.5000 0.3348 [2 per cell]


This record from the Alexandria database describes a relaxed Al3VCo2 crystal. The functional is PBE.

Results
V   75.0 Å³/cell
Formation enthalpy at 0 K   -2.8 eV/f.u.

abc: 2.8162 2.8162 9.4616
angles: 90.00 90.00 90.00
Space group P4/mmm (No. 123)
One atom of each set of equivalent atoms:
Al 0.0000 0.0000 0.0000 [1 per cell]
Al 0.0000 0.0000 0.3050 [2 per cell]
V 0.5000 0.5000 0.5000 [1 per cell]
Co 0.5000 0.5000 0.1531 [2 per cell]


This record from the Alexandria database describes a relaxed AlV2Co6 crystal. The functional is PBE.

Results
V   210.6 Å³/cell
Formation enthalpy at 0 K   -0.2 eV/f.u.

abc: 11.7313 7.2418 2.5391
angles: 90.00 102.46 90.00
Space group C2/m (No. 12)
One atom of each set of equivalent atoms:
Al 0.0000 0.0000 0.0000 [2 per cell]
V 0.1447 0.5000 0.1426 [4 per cell]
Co 0.0000 0.3064 0.5000 [4 per cell]
Co 0.1802 0.1679 0.1812 [8 per cell]


This record from the Alexandria database describes a relaxed AlV6Co crystal. The functional is PBE.

Results
V   105.3 Å³/cell
Formation enthalpy at 0 K   -1.3 eV/f.u.

abc: 4.7224 4.7224 4.7224
angles: 90.00 90.00 90.00
Space group Pm-3 (No. 200)
One atom of each set of equivalent atoms:
Al 0.0000 0.0000 0.0000 [1 per cell]
V 0.0000 0.5000 0.2563 [6 per cell]
Co 0.5000 0.5000 0.5000 [1 per cell]


This record from the Alexandria database describes a relaxed Al2VCo2 crystal. The functional is PBE.

Results
V   126.1 Å³/cell
Offset from the most stable computed form   0.000 eV/atom
Formation enthalpy at 0 K   -1.2 eV/f.u.

abc: 6.9106 6.9106 2.6395
angles: 90.00 90.00 90.00
Space group P4/mbm (No. 127)
One atom of each set of equivalent atoms:
Al 0.1340 0.3660 0.0000 [4 per cell]
V 0.0000 0.0000 0.0000 [2 per cell]
Co 0.1642 0.6642 0.5000 [4 per cell]


This record from the Alexandria database describes a relaxed Al2VCo2 crystal. The functional is PBE.

Results
V   126.2 Å³/cell
Offset from the most stable computed form   0.006 eV/atom
Formation enthalpy at 0 K   -1.2 eV/f.u.

abc: 6.8243 6.8243 2.7098
angles: 90.00 90.00 90.00
Space group P4/mbm (No. 127)
One atom of each set of equivalent atoms:
Al 0.1553 0.3447 0.0000 [4 per cell]
V 0.0000 0.0000 0.5000 [2 per cell]
Co 0.1416 0.6416 0.5000 [4 per cell]


This record from the Alexandria database describes a relaxed Al2VCo2 crystal. The functional is PBE.

Results
V   138.4 Å³/cell
Offset from the most stable computed form   0.351 eV/atom
Formation enthalpy at 0 K   0.5 eV/f.u.

abc: 3.5685 3.5685 10.8676
angles: 90.00 90.00 90.00
Space group I4/mmm (No. 139)
One atom of each set of equivalent atoms:
Al 0.0000 0.5000 0.2500 [4 per cell]
V 0.0000 0.0000 0.0000 [2 per cell]
Co 0.0000 0.0000 0.3996 [4 per cell]


This record from the Alexandria database describes a relaxed AlV2ZnCo crystal. The functional is PBE.

Results
V   85.4 Å³/cell
Formation enthalpy at 0 K   6.8 eV/f.u.

abc: 4.4540 4.4540 4.3028
angles: 90.00 90.00 90.00
Space group P4/mmm (No. 123)
One atom of each set of equivalent atoms:
Al 0.0000 0.0000 0.0000 [1 per cell]
V 0.0000 0.5000 0.5000 [2 per cell]
Zn 0.0000 0.0000 0.5000 [1 per cell]
Co 0.5000 0.5000 0.0000 [1 per cell]


This record from the Alexandria database describes a relaxed AlCo6W crystal. The functional is PBE.

Results
V   735.3 Å³/cell
Formation enthalpy at 0 K   -1.0 eV/f.u.

abc: 7.1539 10.1389 10.1376
angles: 90.00 90.00 90.00
Space group Cmmm (No. 65)
One atom of each set of equivalent atoms:
Al 0.0000 0.0000 0.2480 [4 per cell]
Al 0.0000 0.2555 0.5000 [4 per cell]
Co 0.0000 0.0000 0.0000 [2 per cell]
Co 0.0000 0.0000 0.5000 [2 per cell]
Co 0.0000 0.2501 0.2499 [8 per cell]
Co 0.0000 0.5000 0.0000 [2 per cell]
Co 0.0000 0.5000 0.5000 [2 per cell]
Co 0.2464 0.1251 0.3756 [16 per cell]
Co 0.2499 0.1249 0.1248 [16 per cell]
W 0.0000 0.2530 0.0000 [4 per cell]
W 0.0000 0.5000 0.2537 [4 per cell]


This record from the Alexandria database describes a relaxed Al2CoW2 crystal. The functional is PBE.

Results
V   171.4 Å³/cell
Offset from the most stable computed form   0.527 eV/atom
Formation enthalpy at 0 K   3.4 eV/f.u.

abc: 3.6162 3.6162 13.1097
angles: 90.00 90.00 90.00
Space group I4/mmm (No. 139)
One atom of each set of equivalent atoms:
Al 0.0000 0.0000 0.0940 [4 per cell]
Co 0.0000 0.0000 0.5000 [2 per cell]
W 0.0000 0.5000 0.2500 [4 per cell]


This record from the Alexandria database describes a relaxed Al4CoW crystal. The functional is PBE.

Results
V   348.2 Å³/cell
Formation enthalpy at 0 K   1.5 eV/f.u.

abc: 7.0352 7.0352 7.0352
angles: 90.00 90.00 90.00
Space group F-43m (No. 216)
One atom of each set of equivalent atoms:
Al 0.1248 0.1248 0.1248 [16 per cell]
Co 0.2500 0.2500 0.7500 [4 per cell]
W 0.0000 0.0000 0.5000 [4 per cell]


This record from the Alexandria database describes a relaxed AlCoW3 crystal. The functional is PBE.

Results
V   89.6 Å³/cell
Offset from the most stable computed form   0.856 eV/atom
Formation enthalpy at 0 K   10.6 eV/f.u.

abc: 4.4743 4.4743 4.4743
angles: 90.00 90.00 90.00
Space group Pm-3m (No. 221)
One atom of each set of equivalent atoms:
Al 0.0000 0.0000 0.0000 [1 per cell]
Co 0.5000 0.5000 0.5000 [1 per cell]
W 0.0000 0.0000 0.5000 [3 per cell]


This record from the Alexandria database describes a relaxed Al2CoW crystal. The functional is PBE.

Results
V   55.0 Å³/cell
Offset from the most stable computed form   0.137 eV/atom
Formation enthalpy at 0 K   -0.5 eV/f.u.

abc: 3.8609 3.8609 3.6872
angles: 90.00 90.00 90.00
Space group P4/mmm (No. 123)
One atom of each set of equivalent atoms:
Al 0.0000 0.5000 0.0000 [2 per cell]
Co 0.0000 0.0000 0.5000 [1 per cell]
W 0.5000 0.5000 0.5000 [1 per cell]


This record from the Alexandria database describes a relaxed Al2CoW crystal. The functional is PBE.

Results
V   174.5 Å³/cell
Offset from the most stable computed form   0.223 eV/atom
Formation enthalpy at 0 K   -0.1 eV/f.u.

abc: 2.8032 2.8032 25.6459
angles: 90.00 90.00 120.00
Space group R3m (No. 160, hexagonal axes)
One atom of each set of equivalent atoms:
Al 0.0000 0.0000 0.0000 [3 per cell]
Al 0.0000 0.0000 0.2423 [3 per cell]
Co 0.0000 0.0000 0.7419 [3 per cell]
W 0.0000 0.0000 0.4872 [3 per cell]


This record from the Alexandria database describes a relaxed Al5Co6W crystal. The functional is PBE.

Results
V   290.1 Å³/cell
Formation enthalpy at 0 K   -5.7 eV/f.u.

abc: 4.1088 12.2881 5.7461
angles: 90.00 90.00 90.00
Space group Cmmm (No. 65)
One atom of each set of equivalent atoms:
Al 0.0000 0.0000 0.0000 [2 per cell]
Al 0.0000 0.3311 0.5000 [4 per cell]
Al 0.0000 0.3337 0.0000 [4 per cell]
Co 0.0000 0.1658 0.2496 [8 per cell]
Co 0.0000 0.5000 0.2533 [4 per cell]
W 0.0000 0.0000 0.5000 [2 per cell]